Entry from the Alexandria database: KTiN2 after structural relaxation (GGA-PBE).

Geometry as CIF:
```
data_KTiN2
_chemical_formula_sum 'K4 Ti4 N8'
_cell_length_a 5.847
_cell_length_b 5.847
_cell_length_c 8.647
_cell_angle_alpha 90.00
_cell_angle_beta 90.00
_cell_angle_gamma 90.00
_space_group_name_H-M_alt 'I -4 2 d'
_space_group_IT_number 122
_space_group_name_Hall 'I -4 2bw'
loop_
_atom_site_label
_atom_site_fract_x
_atom_site_fract_y
_atom_site_fract_z
_atom_site_occupancy
K1 0.000 0.000 0.000 1
Ti1 0.000 0.000 0.500 1
N1 0.100 0.250 0.625 1
```

Results
VASP energy, eV/atom: -7.00

Entry from the Alexandria database: KTiN2 after structural relaxation (GGA-PBE).

Geometry as CIF:
```
data_KTiN2
_chemical_formula_sum 'K4 Ti4 N8'
_cell_length_a 5.765
_cell_length_b 5.765
_cell_length_c 5.765
_cell_angle_alpha 90.00
_cell_angle_beta 90.00
_cell_angle_gamma 90.00
_space_group_name_H-M_alt 'F m -3 m'
_space_group_IT_number 225
_space_group_name_Hall '-F 4 2 3'
loop_
_atom_site_label
_atom_site_fract_x
_atom_site_fract_y
_atom_site_fract_z
_atom_site_occupancy
K1 0.000 0.000 0.000 1
Ti1 0.000 0.000 0.500 1
N1 0.250 0.250 0.250 1
```

Results
VASP energy, eV/atom: -5.52

Entry from the Alexandria database: KTiN2 after structural relaxation (GGA-PBE).

Geometry as CIF:
```
data_KTiN2
_chemical_formula_sum 'K3 Ti3 N6'
_cell_length_a 3.1568
_cell_length_b 3.1568
_cell_length_c 20.7838
_cell_angle_alpha 90.00
_cell_angle_beta 90.00
_cell_angle_gamma 120.00
_space_group_name_H-M_alt 'R -3 m'
_space_group_IT_number 166
_space_group_name_Hall '-R 3 2"'
loop_
_atom_site_label
_atom_site_fract_x
_atom_site_fract_y
_atom_site_fract_z
_atom_site_occupancy
K1 0.0000 0.0000 0.0000 1
Ti1 0.0000 0.0000 0.5000 1
N1 0.0000 0.0000 0.1185 1
```

Results
VASP energy, eV/atom: -6.68

Entry from the Alexandria database: KTiN after structural relaxation (GGA-PBE).

Geometry as CIF:
```
data_KTiN
_chemical_formula_sum 'K4 Ti4 N4'
_cell_length_a 20.388
_cell_length_b 3.258
_cell_length_c 4.981
_cell_angle_alpha 90.00
_cell_angle_beta 91.82
_cell_angle_gamma 90.00
_space_group_name_H-M_alt 'C 1 2/m 1'
_space_group_IT_number 12
loop_
_space_group_symop_operation_xyz
'x,y,z'
'-x,-y,-z'
'-x,y,-z'
'x,-y,z'
'x+1/2,y+1/2,z'
'-x+1/2,-y+1/2,-z'
'-x+1/2,y+1/2,-z'
'x+1/2,-y+1/2,z'
loop_
_atom_site_label
_atom_site_fract_x
_atom_site_fract_y
_atom_site_fract_z
_atom_site_occupancy
K1 0.102 0.000 0.260 1
Ti1 0.233 0.000 0.717 1
N1 0.198 0.500 0.540 1
```

Results
VASP energy, eV/atom: -6.31

Entry from the Alexandria database: K4U3TiN8 after structural relaxation (GGA-PBE).

Geometry as CIF:
```
data_K4U3TiN8
_chemical_formula_sum 'K12 U9 Ti3 N24'
_cell_length_a 6.8674
_cell_length_b 6.8674
_cell_length_c 19.1687
_cell_angle_alpha 90.00
_cell_angle_beta 90.00
_cell_angle_gamma 120.00
_space_group_name_H-M_alt 'R -3 m'
_space_group_IT_number 166
_space_group_name_Hall '-R 3 2"'
loop_
_atom_site_label
_atom_site_fract_x
_atom_site_fract_y
_atom_site_fract_z
_atom_site_occupancy
K1 0.0000 0.0000 0.0000 1
K2 0.0000 0.5000 0.0000 1
U1 0.0000 0.5000 0.5000 1
Ti1 0.0000 0.0000 0.5000 1
N1 0.0000 0.0000 0.2216 1
N2 0.0010 0.5005 0.2199 1
```

Results
VASP energy, eV/atom: -8.00

Entry from the Alexandria database: K2UTiN4 after structural relaxation (GGA-PBE).

Geometry as CIF:
```
data_K2UTiN4
_chemical_formula_sum 'K2 U1 Ti1 N4'
_cell_length_a 5.590
_cell_length_b 3.412
_cell_length_c 6.624
_cell_angle_alpha 90.00
_cell_angle_beta 106.18
_cell_angle_gamma 90.00
_space_group_name_H-M_alt 'P 1 2/m 1'
_space_group_IT_number 10
loop_
_space_group_symop_operation_xyz
'x,y,z'
'-x,-y,-z'
'-x,y,-z'
'x,-y,z'
loop_
_atom_site_label
_atom_site_fract_x
_atom_site_fract_y
_atom_site_fract_z
_atom_site_occupancy
K1 0.000 0.000 0.000 1
K2 0.500 0.500 0.000 1
U1 0.000 0.500 0.500 1
Ti1 0.500 0.000 0.500 1
N1 0.232 0.000 0.664 1
N2 0.276 0.500 0.338 1
```

Results
VASP energy, eV/atom: -7.76

Entry from the Alexandria database: KZrTiN3 after structural relaxation (GGA-PBE).

Geometry as CIF:
```
data_KZrTiN3
_chemical_formula_sum 'K2 Zr2 Ti2 N6'
_cell_length_a 7.438
_cell_length_b 3.337
_cell_length_c 9.294
_cell_angle_alpha 90.00
_cell_angle_beta 98.94
_cell_angle_gamma 90.00
_space_group_name_H-M_alt 'P 1 21/m 1'
_space_group_IT_number 11
loop_
_space_group_symop_operation_xyz
'x,y,z'
'-x,-y,-z'
'-x,y+1/2,-z'
'x,-y+1/2,z'
loop_
_atom_site_label
_atom_site_fract_x
_atom_site_fract_y
_atom_site_fract_z
_atom_site_occupancy
K1 0.152 0.250 0.199 1
Zr1 0.384 0.750 0.877 1
Ti1 0.128 0.250 0.584 1
N1 0.138 0.750 0.475 1
N2 0.198 0.250 0.786 1
N3 0.415 0.750 0.098 1
```

Results
VASP energy, eV/atom: -8.17

Entry from the Alexandria database: KTlN2 after structural relaxation (GGA-PBE).

Geometry as CIF:
```
data_KTlN2
_chemical_formula_sum 'K4 Tl4 N8'
_cell_length_a 6.545
_cell_length_b 6.545
_cell_length_c 7.892
_cell_angle_alpha 90.00
_cell_angle_beta 90.00
_cell_angle_gamma 90.00
_space_group_name_H-M_alt 'I -4 2 d'
_space_group_IT_number 122
_space_group_name_Hall 'I -4 2bw'
loop_
_atom_site_label
_atom_site_fract_x
_atom_site_fract_y
_atom_site_fract_z
_atom_site_occupancy
K1 0.000 0.000 0.000 1
Tl1 0.000 0.000 0.500 1
N1 0.182 0.250 0.625 1
```

Results
VASP energy, eV/atom: -3.88

Values for total moment, μB per cell, ordered as above
4.00, 0.00, 0.00, 0.11, 6.32, 0.00, 0.00, 8.00